TaAs2SeI | PBE | optimized geometry

The calculated total energy is -17.32 eV per cell. For the density of states at the Fermi level, the calculation gives 4.784 states/eV/cell. The calculation puts the offset from the most stable computed form at 1606 meV/atom. The magnetization comes out at 0.34 μB per atom. The calculation puts the formation energy (no corrections) at 1.77 eV/atom.

The space group is P4/mmm (No. 123) and the conventional cell measures 5.2458, 5.2458 and 5.1419 Å, with angles of 90.00, 90.00 and 90.00 degrees. The inequivalent atoms are Ta at (0.0000, 0.0000, 0.0000), As at (0.0000, 0.5000, 0.5000), Se at (0.5000, 0.5000, 0.0000) and I at (0.5000, 0.5000, 0.5000).